[1]
# SrNiSb2O8

An optimized crystal structure of SrNiSb2O8 (GGA+U, Alexandria via LeMat-Bulk).

Calculated values
Its space group is P-3, No. 147. The density of states at the Fermi level is 5.48 states/eV per cell.

Structure (POSCAR):
```
SrNiSb2O8
1.0
-2.309 -1.943 -4.462
4.299 -2.472 2.104
-3.815 -3.614 3.548
Sr Ni Sb O
1 1 2 8
direct
0.000 0.000 0.500
0.000 0.000 0.000
0.667 0.333 0.077
0.333 0.667 0.923
0.945 0.649 0.856
0.351 0.296 0.856
0.704 0.055 0.856
0.055 0.351 0.144
0.649 0.704 0.144
0.296 0.945 0.144
0.667 0.333 0.388
0.333 0.667 0.612
```

[2]
# TbNi2SbO6

An optimized crystal structure of TbNi2SbO6 (GGA+U, Alexandria via LeMat-Bulk).

Calculated values
Its space group is R3, No. 146. The density of states at the Fermi level is 0.00 states/eV per cell.

Structure (POSCAR):
```
TbNi2SbO6
1.0
-2.833 -2.878 -3.497
-4.326 -2.676 1.628
-5.128 2.001 -1.574
Tb Ni Sb O
1 2 1 6
direct
0.806 0.806 0.581
0.521 0.521 0.436
0.014 0.015 0.956
0.319 0.319 0.042
0.596 0.235 0.237
0.235 0.932 0.237
0.932 0.596 0.238
0.383 0.712 0.762
0.712 0.142 0.762
0.142 0.383 0.762
```

[3]
# NiSbTe2O

An optimized crystal structure of NiSbTe2O (GGA+U, Alexandria via LeMat-Bulk).

Calculated values
The value obtained for the offset from the most stable computed form is 0 kJ/mol of formula units. Its space group is P4/mmm, No. 123. The density of states at the Fermi level is 4.33 states/eV per cell.

Structure (POSCAR):
```
NiSbTe2O
1.0
-1.304 3.038 -3.463
-1.469 -3.685 -2.680
-4.261 0.325 1.889
Sb Te O Ni
1 2 1 1
direct
0.000 0.000 0.500
0.000 0.500 0.000
0.500 0.000 0.000
0.000 0.000 0.000
0.500 0.500 0.500
```

[4]
# Ni2SbTeO6

An optimized crystal structure of Ni2SbTeO6 (GGA+U, Alexandria via LeMat-Bulk).

Calculated values
Its space group is P1, No. 1. The density of states at the Fermi level is 2.73 states/eV per cell.

Structure (POSCAR):
```
Ni2SbTeO6
1.0
5.489 -0.017 0.001
2.725 4.757 0.000
2.760 1.591 4.743
Ni Sb Te O
2 1 1 6
direct
0.521 0.523 0.434
0.018 0.017 0.947
0.815 0.818 0.547
0.318 0.316 0.046
0.652 0.215 0.258
0.218 0.879 0.253
0.877 0.651 0.256
0.387 0.715 0.755
0.710 0.144 0.760
0.146 0.385 0.759
```

[5]
# NiSbTe2O

An optimized crystal structure of NiSbTe2O (GGA+U, Alexandria via LeMat-Bulk).

Calculated values
The value obtained for the offset from the most stable computed form is 98 kJ/mol of formula units. Its space group is P4/mmm, No. 123. The density of states at the Fermi level is 5.17 states/eV per cell.

Structure (POSCAR):
```
NiSbTe2O
1.0
-0.428 4.030 2.865
-0.074 -2.880 4.041
4.870 0.301 0.303
Sb Te O Ni
1 2 1 1
direct
0.000 0.000 0.500
0.000 0.500 0.000
0.500 0.000 0.000
0.500 0.500 0.500
0.000 0.000 0.000
```

[6]
# Tl2NiSbO

An optimized crystal structure of Tl2NiSbO (GGA+U, Alexandria via LeMat-Bulk).

Calculated values
Its space group is P4/mmm, No. 123. The density of states at the Fermi level is 2.59 states/eV per cell.

Structure (POSCAR):
```
Tl2NiSbO
1.0
5.411 0.000 0.000
0.000 3.794 0.000
0.000 0.000 5.411
Sb Tl O Ni
1 2 1 1
direct
0.500 0.500 0.500
0.000 0.000 0.500
0.500 0.000 0.000
0.000 0.000 0.000
0.000 0.500 0.000
```

[7]
# TlNi2SbO6

An optimized crystal structure of TlNi2SbO6 (GGA+U, Alexandria via LeMat-Bulk).

Calculated values
Its space group is R3, No. 146.

Structure (POSCAR):
```
TlNi2SbO6
1.0
-2.249 4.221 2.404
-5.332 0.468 0.151
-2.620 -0.838 4.975
Tl Ni Sb O
1 2 1 6
direct
0.800 0.800 0.599
0.522 0.522 0.433
0.013 0.013 0.961
0.317 0.317 0.048
0.600 0.238 0.234
0.238 0.928 0.234
0.928 0.600 0.234
0.381 0.715 0.758
0.715 0.147 0.757
0.147 0.381 0.757
```

[8]
# Tl2NiSbO6

An optimized crystal structure of Tl2NiSbO6 (GGA+U, Alexandria via LeMat-Bulk).

Calculated values
Its space group is C2/m, No. 12. The density of states at the Fermi level is 2.10 states/eV per cell.

Structure (POSCAR):
```
Tl2NiSbO6
1.0
5.684 0.067 0.024
2.889 4.857 0.038
2.825 1.635 4.680
Tl Ni Sb O
2 1 1 6
direct
0.589 0.544 0.301
0.043 0.089 0.801
0.816 0.816 0.552
0.316 0.316 0.052
0.627 0.139 0.231
0.196 0.957 0.291
0.005 0.493 0.365
0.437 0.675 0.812
0.627 0.139 0.737
0.005 0.493 0.872
```

[9]
# V2NiSbO8

An optimized crystal structure of V2NiSbO8 (GGA+U, Alexandria via LeMat-Bulk).

Calculated values
Its space group is P-3m1, No. 164. The density of states at the Fermi level is 3.51 states/eV per cell.

Structure (POSCAR):
```
V2NiSbO8
1.0
-0.394 2.991 4.886
2.935 -4.934 -0.117
4.793 2.883 -1.379
V Ni Sb O
2 1 1 8
direct
0.667 0.333 0.324
0.333 0.667 0.676
0.000 0.000 0.500
0.000 0.000 0.000
0.844 0.156 0.246
0.844 0.687 0.246
0.313 0.156 0.246
0.687 0.844 0.754
0.333 0.667 0.395
0.667 0.333 0.605
0.156 0.844 0.754
0.156 0.313 0.754
```

[10]
# VNi2SbO6

An optimized crystal structure of VNi2SbO6 (GGA+U, Alexandria via LeMat-Bulk).

Calculated values
Its space group is R3, No. 146. The density of states at the Fermi level is 0.00 states/eV per cell.

Structure (POSCAR):
```
VNi2SbO6
1.0
-2.734 3.008 3.218
-4.704 1.678 -1.388
-4.399 -2.232 2.525
V Ni Sb O
1 2 1 6
direct
0.816 0.816 0.552
0.521 0.521 0.438
0.019 0.019 0.943
0.318 0.318 0.045
0.602 0.214 0.253
0.213 0.932 0.253
0.932 0.602 0.253
0.424 0.709 0.760
0.709 0.107 0.760
0.107 0.424 0.760
```

[11]
# VNiSbO6

An optimized crystal structure of VNiSbO6 (GGA+U, Alexandria via LeMat-Bulk).

Calculated values
Its space group is P-31c, No. 163.

Structure (POSCAR):
```
VNiSbO6
1.0
-3.571 -3.488 0.993
4.227 0.191 2.829
-4.012 5.704 5.609
V Ni Sb O
2 2 2 12
direct
0.667 0.333 0.250
0.333 0.667 0.750
0.000 0.000 0.000
0.000 0.000 0.500
0.333 0.667 0.250
0.667 0.333 0.750
0.654 0.640 0.132
0.985 0.346 0.132
0.346 0.985 0.632
0.015 0.654 0.868
0.360 0.346 0.368
0.985 0.640 0.368
0.640 0.985 0.868
0.654 0.015 0.368
0.015 0.360 0.632
0.360 0.015 0.132
0.640 0.654 0.632
0.346 0.360 0.868
```

[12]
# ZnNi2SbO6

An optimized crystal structure of ZnNi2SbO6 (GGA+U, Alexandria via LeMat-Bulk).

Calculated values
Its space group is P1, No. 1. The density of states at the Fermi level is 3.95 states/eV per cell.

Structure (POSCAR):
```
ZnNi2SbO6
1.0
5.167 0.004 -0.006
2.583 4.479 -0.002
2.584 1.490 4.660
Zn Ni Sb O
1 2 1 6
direct
0.802 0.802 0.593
0.520 0.520 0.441
0.013 0.013 0.962
0.318 0.318 0.046
0.610 0.227 0.239
0.228 0.923 0.238
0.923 0.610 0.239
0.399 0.720 0.752
0.721 0.128 0.752
0.129 0.399 0.752
```

[13]
# Zn2Ni2SbO6

An optimized crystal structure of Zn2Ni2SbO6 (GGA+U, Alexandria via LeMat-Bulk).

Calculated values
Its space group is C2/m, No. 12. The density of states at the Fermi level is 2.81 states/eV per cell.

Structure (POSCAR):
```
Zn2Ni2SbO6
1.0
-0.029 2.046 -4.911
4.145 -2.981 1.497
-3.862 -3.779 -0.449
Zn Ni Sb O
2 2 1 6
direct
0.822 0.178 0.000
0.178 0.822 0.000
0.338 0.662 0.500
0.662 0.338 0.500
0.000 0.000 0.500
0.765 0.765 0.733
0.057 0.410 0.733
0.235 0.235 0.267
0.410 0.057 0.733
0.943 0.590 0.267
0.590 0.943 0.267
```

[14]
# Zn2NiSbO6

An optimized crystal structure of Zn2NiSbO6 (GGA+U, Alexandria via LeMat-Bulk).

Calculated values
Its space group is P2_1/m, No. 11. The density of states at the Fermi level is 7.69 states/eV per cell.

Structure (POSCAR):
```
Zn2NiSbO6
1.0
-6.925 1.783 -2.709
-2.225 -2.217 4.230
0.102 4.559 2.740
Zn Ni Sb O
4 2 2 12
direct
0.750 0.448 0.514
0.250 0.552 0.486
0.750 0.984 0.038
0.250 0.016 0.962
0.500 0.000 0.500
0.000 0.000 0.500
0.500 0.500 0.000
0.000 0.500 0.000
0.438 0.328 0.330
0.067 0.817 0.160
0.938 0.672 0.670
0.567 0.183 0.840
0.433 0.817 0.160
0.933 0.183 0.840
0.250 0.413 0.873
0.062 0.328 0.330
0.750 0.084 0.397
0.562 0.672 0.670
0.750 0.587 0.127
0.250 0.916 0.603
```

[15]
# Sc3Ni5O12

An optimized crystal structure of Sc3Ni5O12 (GGA+U, Alexandria via LeMat-Bulk).

Calculated values
Its space group is Ia-3d, No. 230. The density of states at the Fermi level is 22.14 states/eV per cell.

Structure (POSCAR):
```
Sc3Ni5O12
1.0
-3.023 3.605 -9.246
3.976 -9.515 -1.130
-8.161 -0.399 6.393
Sc Ni O
12 20 48
direct
0.750 0.375 0.125
0.875 0.750 0.125
0.375 0.750 0.625
0.250 0.125 0.375
0.875 0.125 0.250
0.375 0.625 0.250
0.625 0.375 0.750
0.125 0.875 0.750
0.750 0.875 0.625
0.625 0.250 0.375
0.125 0.250 0.875
0.250 0.625 0.875
0.125 0.375 0.250
0.000 0.500 0.000
0.000 0.000 0.000
0.375 0.250 0.125
0.500 0.000 0.500
0.500 0.500 0.000
0.125 0.750 0.375
0.750 0.125 0.875
0.750 0.625 0.375
0.375 0.125 0.750
0.625 0.875 0.250
0.500 0.500 0.500
0.500 0.000 0.000
0.000 0.000 0.500
0.250 0.375 0.625
0.250 0.875 0.125
0.000 0.500 0.500
0.875 0.250 0.625
0.625 0.750 0.875
0.875 0.625 0.750
0.715 0.131 0.038
0.324 0.538 0.407
0.962 0.369 0.285
0.538 0.215 0.131
0.584 0.715 0.676
0.962 0.593 0.176
0.324 0.785 0.416
0.093 0.916 0.131
0.593 0.962 0.676
0.715 0.584 0.176
0.785 0.462 0.369
0.824 0.907 0.038
0.131 0.715 0.538
0.369 0.407 0.084
0.084 0.907 0.369
0.416 0.131 0.593
0.084 0.176 0.215
0.462 0.676 0.093
0.824 0.916 0.285
0.131 0.416 0.093
0.369 0.962 0.785
0.593 0.631 0.416
0.907 0.824 0.538
0.785 0.324 0.916
0.407 0.369 0.584
0.093 0.176 0.462
0.215 0.676 0.084
0.176 0.084 0.715
0.631 0.038 0.215
0.869 0.584 0.907
0.538 0.324 0.907
0.584 0.869 0.407
0.916 0.824 0.785
0.916 0.093 0.631
0.869 0.285 0.462
0.176 0.093 0.962
0.631 0.593 0.916
0.407 0.038 0.324
0.285 0.416 0.824
0.215 0.538 0.631
0.907 0.084 0.869
0.676 0.215 0.584
0.462 0.785 0.869
0.038 0.407 0.824
0.416 0.285 0.324
0.038 0.631 0.715
0.676 0.462 0.593
0.285 0.869 0.962
```

[16]
# ScNiO2

An optimized crystal structure of ScNiO2 (GGA+U, Alexandria via LeMat-Bulk).

Calculated values
Its space group is Fm-3m, No. 225. The density of states at the Fermi level is 4.57 states/eV per cell.

Structure (POSCAR):
```
ScNiO2
1.0
1.046 -1.929 3.084
0.203 1.751 3.349
-2.538 -0.776 2.698
Sc Ni O
1 1 2
direct
0.000 0.000 0.000
0.500 0.500 0.500
0.250 0.250 0.250
0.750 0.750 0.750
```

[17]
# ScNiO2

An optimized crystal structure of ScNiO2 (GGA+U, Alexandria via LeMat-Bulk).

Calculated values
Its space group is I-42d, No. 122. The density of states at the Fermi level is 0.00 states/eV per cell.

Structure (POSCAR):
```
ScNiO2
1.0
-1.476 -2.194 -4.040
4.444 -1.769 -0.662
0.352 -5.744 0.106
Sc Ni O
2 2 4
direct
0.500 0.500 0.000
0.250 0.750 0.500
0.000 0.000 0.000
0.750 0.250 0.500
0.600 0.125 0.250
0.150 0.625 0.250
0.375 0.400 0.750
0.875 0.850 0.750
```

[18]
# ScNiO2

An optimized crystal structure of ScNiO2 (GGA+U, Alexandria via LeMat-Bulk).

Calculated values
Its space group is P1, No. 1. The density of states at the Fermi level is 0.00 states/eV per cell.

Structure (POSCAR):
```
ScNiO2
1.0
-4.313 3.988 -6.295
-3.753 -1.638 0.207
-1.080 2.673 1.559
Sc Ni O
2 2 4
direct
0.106 0.755 0.824
0.346 0.136 0.204
0.707 0.955 0.523
0.920 0.348 0.367
0.486 0.066 0.635
0.270 0.673 0.248
0.139 0.238 0.833
0.932 0.841 0.412
```

[19]
# ScNi3O

An optimized crystal structure of ScNi3O (GGA+U, Alexandria via LeMat-Bulk).

Calculated values
The value obtained for the offset from the most stable computed form is 0 kJ/mol of formula units. Its space group is Pm-3m, No. 221. The density of states at the Fermi level is 2.43 states/eV per cell.

Structure (POSCAR):
```
ScNi3O
1.0
-1.276 2.957 2.429
-1.701 -2.731 2.432
3.427 -0.255 2.111
Sc Ni O
1 3 1
direct
0.500 0.500 0.500
0.000 0.500 0.000
0.000 0.000 0.500
0.500 0.000 0.000
0.000 0.000 0.000
```

[20]
# ScNi3O

An optimized crystal structure of ScNi3O (GGA+U, Alexandria via LeMat-Bulk).

Calculated values
The value obtained for the offset from the most stable computed form is 972 kJ/mol of formula units. Its space group is Pm-3m, No. 221. The density of states at the Fermi level is 3.96 states/eV per cell.

Structure (POSCAR):
```
ScNi3O
1.0
4.312 0.000 0.000
0.000 4.312 0.000
0.000 0.000 4.312
Sc Ni O
1 3 1
direct
0.000 0.000 0.000
0.000 0.500 0.000
0.000 0.000 0.500
0.500 0.000 0.000
0.500 0.500 0.500
```

no.,mass density (g/cm³),raw total energy (eV per atom)
1,5.397,-5.56
2,6.883,-6.21
3,7.003,-2.92
4,6.194,-5.24
5,6.228,-2.72
6,9.047,-3.33
7,7.562,-5.25
8,8.907,-5.06
9,4.142,-6.57
10,5.908,-6.12
11,5.416,-6.29
12,6.167,-5.20
13,6.177,-4.90
14,6.317,-5.05
15,4.794,-6.19
16,5.877,-6.10
17,4.170,-6.73
18,4.090,-6.89
19,5.998,-3.67
20,4.909,-1.66